Record 1
Computed, not measured: ZnFe6W at its PBEsol-relaxed geometry at the meta-GGA SCAN level of DFT.

a = 6.1951 Å, b = 6.1951 Å, c = 10.1340 Å
α = 90.00°, β = 90.00°, γ = 109.99°
Last column: nearest neighbours and their distance in Å.
Fractional positions:
1 Fe 0.3803 0.1274 0.1246  8 Fe 2.49-2.57, 3 Zn 2.51-2.52, 1 W 2.59
2 Fe 0.0000 0.0000 0.0000  2 Zn 2.51, 8 Fe 2.55, 2 W 2.60
3 Fe 0.2508 0.7492 0.2484  8 Fe 2.49-2.56, 2 Zn 2.52-2.53, 2 W 2.55
4 Fe 0.1274 0.3803 0.8754  8 Fe 2.49-2.57, 3 Zn 2.51-2.52, 1 W 2.59
5 Fe 0.6197 0.8726 0.1246  8 Fe 2.49-2.57, 3 Zn 2.51-2.52, 1 W 2.59
6 Fe 0.1274 0.3803 0.1246  8 Fe 2.49-2.57, 3 Zn 2.51-2.52, 1 W 2.59
7 Fe 0.3774 0.1284 0.6246  1 Zn 2.50, 8 Fe 2.50-2.56, 3 W 2.51-2.54
8 Fe 0.7492 0.2508 0.7516  8 Fe 2.49-2.56, 2 Zn 2.52-2.53, 2 W 2.55
9 Fe 0.8726 0.6197 0.1246  8 Fe 2.49-2.57, 3 Zn 2.51-2.52, 1 W 2.59
10 Fe 0.2508 0.7492 0.7516  8 Fe 2.49-2.56, 2 Zn 2.52-2.53, 2 W 2.55
11 Fe 0.1284 0.3774 0.3754  1 Zn 2.50, 8 Fe 2.50-2.56, 3 W 2.51-2.54
12 Fe 0.8716 0.6226 0.6246  1 Zn 2.50, 8 Fe 2.50-2.56, 3 W 2.51-2.54
13 Fe 0.1284 0.3774 0.6246  1 Zn 2.50, 8 Fe 2.50-2.56, 3 W 2.51-2.54
14 Fe 0.6226 0.8716 0.3754  1 Zn 2.50, 8 Fe 2.50-2.56, 3 W 2.51-2.54
15 Fe 0.8716 0.6226 0.3754  1 Zn 2.50, 8 Fe 2.50-2.56, 3 W 2.51-2.54
16 Fe 0.6226 0.8716 0.6246  1 Zn 2.50, 8 Fe 2.50-2.56, 3 W 2.51-2.54
17 Fe 0.5000 0.5000 0.0000  8 Fe 2.51, 4 Zn 2.54-2.56
18 Fe 0.3774 0.1284 0.3754  1 Zn 2.50, 8 Fe 2.50-2.56, 3 W 2.51-2.54
19 Fe 0.6197 0.8726 0.8754  8 Fe 2.49-2.57, 3 Zn 2.51-2.52, 1 W 2.59
20 Fe 0.8726 0.6197 0.8754  8 Fe 2.49-2.57, 3 Zn 2.51-2.52, 1 W 2.59
21 Fe 0.7492 0.2508 0.2484  8 Fe 2.49-2.56, 2 Zn 2.52-2.53, 2 W 2.55
22 Fe 0.0000 0.0000 0.5000  4 W 2.47-2.48, 8 Fe 2.53
23 Fe 0.5000 0.5000 0.5000  8 Fe 2.50, 2 Zn 2.52, 2 W 2.59
24 Fe 0.3803 0.1274 0.8754  8 Fe 2.49-2.57, 3 Zn 2.51-2.52, 1 W 2.59
25 Zn 0.5000 0.5000 0.7491  12 Fe 2.50-2.54
26 Zn 0.7526 0.2474 0.0000  12 Fe 2.51-2.56
27 Zn 0.5000 0.5000 0.2509  12 Fe 2.50-2.54
28 Zn 0.2474 0.7526 0.0000  12 Fe 2.51-2.56
29 W 0.7554 0.2446 0.5000  12 Fe 2.48-2.59
30 W 0.2446 0.7554 0.5000  12 Fe 2.48-2.59
31 W 0.0000 0.0000 0.7434  12 Fe 2.47-2.60
32 W 0.0000 0.0000 0.2566  12 Fe 2.47-2.60

Energy of formation ... 112 meV/atom
Symmetry ... Cmmm

Record 2
Computed, not measured: ZnFe2W at its PBEsol-relaxed geometry at the meta-GGA SCAN level of DFT.

a = 2.6631 Å, b = 2.6631 Å, c = 8.4577 Å
α = 80.94°, β = 80.94°, γ = 60.00°
Last column: nearest neighbours and their distance in Å.
Fractional positions:
1 W 0.5000 0.5000 0.5000  6 Fe 2.61, 6 W 2.66
2 Fe 0.2510 0.2510 0.2469  3 Zn 2.57, 3 W 2.61, 6 Fe 2.66
3 Fe 0.7490 0.7490 0.7531  3 Zn 2.57, 3 W 2.61, 6 Fe 2.66
4 Zn 0.0000 0.0000 0.0000  6 Fe 2.57, 6 Zn 2.66

Energy of formation ... 294 meV/atom
Symmetry ... R-3m

Record 3
Computed, not measured: ZnFe2W at its PBEsol-relaxed geometry at the meta-GGA SCAN level of DFT.

a = 2.9465 Å, b = 2.9465 Å, c = 5.5995 Å
α = 90.00°, β = 90.00°, γ = 90.00°
Last column: nearest neighbours and their distance in Å.
Fractional positions:
1 W 0.5000 0.5000 0.0000  8 Fe 2.50
2 Fe 0.0000 0.0000 0.7543  4 W 2.50, 4 Zn 2.52, 1 Fe 2.75
3 Fe 0.0000 0.0000 0.2457  4 W 2.50, 4 Zn 2.52, 1 Fe 2.75
4 Zn 0.5000 0.5000 0.5000  8 Fe 2.52, 2 W 2.80

Energy of formation ... 191 meV/atom
Symmetry ... P4/mmm